Record 1
Density functional theory data (PBE) for a geometry-optimized CuSi4Mo structure.

abc: 4.8495 4.8495 4.8495
angles: 60.00 60.00 60.00
Fractional positions:
Cu 0.2500 0.2500 0.2500
Si 0.6255 0.6255 0.1234
Si 0.6255 0.1234 0.6255
Si 0.6255 0.6255 0.6255
Si 0.1234 0.6255 0.6255
Mo 0.0000 0.0000 0.0000

Calculated values
As for the total magnetic moment: 0.0 μB per cell. The value obtained for the calculated volume is 81 Å³/cell. The value obtained for the raw total energy is -5.748 eV/atom.

Record 2
Density functional theory data (PBE) for a geometry-optimized CuSi2Mo structure.

abc: 3.1752 3.2024 5.3193
angles: 90.00 90.00 90.00
Fractional positions:
Cu 0.5000 0.5000 0.2500
Mo 0.5000 0.5000 0.7500
Si 0.0000 0.0000 0.0043
Si 0.0000 0.0000 0.4957

Calculated values
As for the total magnetic moment: 0.0 μB per cell. The value obtained for the calculated volume is 54 Å³/cell. The value obtained for the raw total energy is -6.551 eV/atom.

Record 3
Density functional theory data (PBE) for a geometry-optimized CuSiMo structure.

abc: 2.7743 2.7743 6.3001
angles: 90.00 90.00 120.00
Fractional positions:
Cu 0.0000 0.0000 0.9843
Mo 0.6667 0.3333 0.3407
Si 0.3333 0.6667 0.6750

Calculated values
As for the total magnetic moment: 0.0 μB per cell. The value obtained for the calculated volume is 42 Å³/cell. The value obtained for the raw total energy is -6.645 eV/atom.

Record 4
Density functional theory data (PBE) for a geometry-optimized Cu2Si2Mo structure.

abc: 6.7886 6.7886 2.9166
angles: 90.00 90.00 90.00
Fractional positions:
Mo 0.0000 0.0000 0.0000
Mo 0.5000 0.5000 0.0000
Si 0.3421 0.8421 0.0000
Si 0.8421 0.6579 0.0000
Si 0.6579 0.1579 0.0000
Si 0.1579 0.3421 0.0000
Cu 0.1376 0.6376 0.5000
Cu 0.6376 0.8624 0.5000
Cu 0.8624 0.3624 0.5000
Cu 0.3624 0.1376 0.5000

Calculated values
As for the total magnetic moment: 0.0 μB per cell. The value obtained for the calculated volume is 134 Å³/cell. The value obtained for the raw total energy is -5.925 eV/atom.

Record 5
Density functional theory data (PBE) for a geometry-optimized CuSiMo structure.

abc: 6.0259 6.0259 6.0259
angles: 154.26 154.26 36.73
Fractional positions:
Cu 0.0085 0.0085 0.0000
Mo 0.3297 0.3297 0.0000
Si 0.6618 0.6618 0.0000

Calculated values
As for the total magnetic moment: 0.0 μB per cell. The value obtained for the calculated volume is 41 Å³/cell. The value obtained for the raw total energy is -6.594 eV/atom.

Record 6
Density functional theory data (PBE) for a geometry-optimized CuSiMo structure.

abc: 4.0156 4.0156 4.0156
angles: 60.00 60.00 60.00
Fractional positions:
Cu 0.0000 0.0000 0.0000
Mo 0.5000 0.5000 0.5000
Si 0.7500 0.7500 0.7500

Calculated values
As for the total magnetic moment: 0.0 μB per cell. The value obtained for the calculated volume is 46 Å³/cell. The value obtained for the raw total energy is -6.630 eV/atom.

Record 7
Density functional theory data (PBE) for a geometry-optimized CuSi2Mo structure.

abc: 4.8831 4.8831 4.8831
angles: 137.04 137.04 62.38
Fractional positions:
Cu 0.5000 0.5000 0.0000
Mo 0.7500 0.2500 0.5000
Si 0.0000 0.0000 0.0000
Si 0.2500 0.7500 0.5000

Calculated values
As for the total magnetic moment: 0.0 μB per cell. The value obtained for the calculated volume is 53 Å³/cell. The value obtained for the raw total energy is -6.513 eV/atom.

Record 8
Density functional theory data (PBE) for a geometry-optimized CuSiMo structure.

abc: 4.1270 4.1270 2.7237
angles: 90.00 90.00 120.00
Fractional positions:
Cu 0.0000 0.0000 0.8329
Mo 0.6667 0.3333 0.3332
Si 0.3333 0.6667 0.8340

Calculated values
As for the total magnetic moment: 0.0 μB per cell. The value obtained for the calculated volume is 40 Å³/cell. The value obtained for the raw total energy is -6.850 eV/atom.

Record 9
Density functional theory data (PBE) for a geometry-optimized CuSi2Mo structure.

abc: 6.5534 6.5534 5.3809
angles: 52.49 52.49 90.00
Fractional positions:
Mo 0.0000 0.0000 0.0000
Mo 0.7500 0.2500 0.5000
Si 0.5976 0.1250 0.2500
Si 0.1524 0.6250 0.2500
Si 0.3750 0.4024 0.7500
Si 0.8750 0.8476 0.7500
Cu 0.5000 0.5000 0.0000
Cu 0.2500 0.7500 0.5000

Calculated values
As for the total magnetic moment: 0.0 μB per cell. The value obtained for the calculated volume is 117 Å³/cell. The value obtained for the raw total energy is -6.053 eV/atom.

Record 10
Density functional theory data (PBE) for a geometry-optimized CuSiMo3 structure.

abc: 4.4770 4.4770 4.4770
angles: 90.00 90.00 90.00
Fractional positions:
Mo 0.0000 0.5000 0.0000
Mo 0.0000 0.0000 0.5000
Mo 0.5000 0.0000 0.0000
Si 0.5000 0.5000 0.5000
Cu 0.0000 0.0000 0.0000

Calculated values
As for the total magnetic moment: 0.0 μB per cell. The value obtained for the calculated volume is 90 Å³/cell. The value obtained for the raw total energy is -6.795 eV/atom.

Record 11
Density functional theory data (PBE) for a geometry-optimized CuSi2Mo structure.

abc: 4.4619 4.4619 2.7758
angles: 90.00 90.00 99.93
Fractional positions:
Cu 0.5000 0.0000 0.5000
Mo 0.0000 0.5000 0.5000
Si 0.0000 0.0000 0.0000
Si 0.5000 0.5000 0.0000

Calculated values
As for the total magnetic moment: 0.0 μB per cell. The value obtained for the calculated volume is 54 Å³/cell. The value obtained for the raw total energy is -6.397 eV/atom.

Record 12
Density functional theory data (PBE) for a geometry-optimized CuSiMo structure.

abc: 6.2534 6.0957 2.7232
angles: 80.52 74.04 25.44
Fractional positions:
Cu 0.0089 0.0089 0.9911
Mo 0.3272 0.3272 0.6728
Si 0.6639 0.6639 0.3361

Calculated values
As for the total magnetic moment: 0.0 μB per cell. The value obtained for the calculated volume is 42 Å³/cell. The value obtained for the raw total energy is -6.612 eV/atom.

Record 13
Density functional theory data (PBE) for a geometry-optimized CuSi2Mo structure.

abc: 2.6627 2.6627 7.8579
angles: 90.00 90.00 89.86
Fractional positions:
Cu 0.0000 0.0000 0.4879
Mo 0.5000 0.5000 0.7466
Si 0.0000 0.0000 0.9978
Si 0.5000 0.5000 0.2678

Calculated values
As for the total magnetic moment: 0.0 μB per cell. The value obtained for the calculated volume is 56 Å³/cell. The value obtained for the raw total energy is -6.237 eV/atom.

Record 14
Density functional theory data (PBE) for a geometry-optimized CuSi2Mo2 structure.

abc: 6.4024 6.4024 3.4020
angles: 90.00 90.00 90.00
Fractional positions:
Mo 0.1662 0.6662 0.5000
Mo 0.6662 0.8338 0.5000
Mo 0.8338 0.3338 0.5000
Mo 0.3338 0.1662 0.5000
Si 0.3661 0.8661 0.0000
Si 0.8661 0.6339 0.0000
Si 0.6339 0.1339 0.0000
Si 0.1339 0.3661 0.0000
Cu 0.0000 0.0000 0.0000
Cu 0.5000 0.5000 0.0000

Calculated values
As for the total magnetic moment: 0.0 μB per cell. The value obtained for the calculated volume is 139 Å³/cell. The value obtained for the raw total energy is -7.533 eV/atom.

Record 15
Density functional theory data (PBE) for a geometry-optimized CuSiTe2Mo structure.

abc: 5.2582 4.7041 5.2582
angles: 90.00 90.00 90.00
Last column: magnetic moment on the atom in μB.
Fractional positions:
Mo 0.0000 0.5000 0.0000  2.17
Te 0.0000 0.0000 0.5000  0.02
Te 0.5000 0.0000 0.0000  0.02
Si 0.0000 0.0000 0.0000  -0.05
Cu 0.5000 0.5000 0.5000  0.02

Calculated values
As for the total magnetic moment: 2.7 μB per cell. The value obtained for the calculated volume is 130 Å³/cell. The value obtained for the raw total energy is -4.152 eV/atom.